# 1
A relaxed structure of CoAgTe. Source: the Alexandria database, functional GGA-PBEsol.

## Properties
As for the space group: P-6m2 (187). For the energy above the lowest structure with this stoichiometry, the calculation gives 0 meV per atom. The calculation puts the total energy at -4.540 eV per atom.

Cell: 3.6210 4.1586 4.1586 Å, 120.00 90.00 90.00°
Closest atoms and distances in Å follow each position.
Positions (direct):
Te (0.5001, 0.6667, 0.3333)  3 Co 2.40
Co (0.4996, 0.3333, 0.6667)  3 Te 2.40
Ag (0.0002, 0.0000, 0.0000)  6 Co 3.01, 6 Te 3.01



# 2
A relaxed structure of KRbBi3. Source: the Alexandria database, functional GGA-PBEsol.

## Properties
As for the space group: Pm-3m (221). For the energy above the lowest structure with this stoichiometry, the calculation gives 179 meV per atom. The calculation puts the total energy at -2.252 eV per atom.

Cell: 6.1492 6.1492 6.1492 Å, 90.00 90.00 90.00°
Closest atoms and distances in Å follow each position.
Positions (direct):
K (0.5000, 0.5000, 0.5000)  12 Bi 4.35
Rb (0.0000, 0.0000, 0.0000)  6 Bi 3.07
Bi (0.0000, 0.5000, 0.0000)  2 Rb 3.07
Bi (0.5000, 0.0000, 0.0000)  2 Rb 3.07
Bi (0.0000, 0.0000, 0.5000)  2 Rb 3.07



# 3
A relaxed structure of Pt2PbBr. Source: the Alexandria database, functional GGA-PBEsol.

## Properties
As for the space group: Fm-3m (225). For the energy above the lowest structure with this stoichiometry, the calculation gives 78 meV per atom. The calculation puts the total energy at -4.595 eV per atom.

Cell: 4.7556 4.7556 4.7556 Å, 60.00 60.00 60.00°
Closest atoms and distances in Å follow each position.
Positions (direct):
Pb (0.5000, 0.5000, 0.5000)  8 Pt 2.91
Br (0.0000, 0.0000, 0.0000)  8 Pt 2.91
Pt (0.2500, 0.2500, 0.2500)  4 Pb 2.91, 4 Br 2.91
Pt (0.7500, 0.7500, 0.7500)  4 Br 2.91, 4 Pb 2.91



# 4
A relaxed structure of ZrPb2O2. Source: the Alexandria database, functional GGA-PBEsol.

## Properties
As for the space group: I4/mmm (139). For the energy above the lowest structure with this stoichiometry, the calculation gives 368 meV per atom. The calculation puts the total energy at -5.302 eV per atom.

Cell: 3.9674 3.9674 6.5633 Å, 107.59 107.59 90.00°
Closest atoms and distances in Å follow each position.
Positions (direct):
O (0.6011, 0.6011, 0.2023)  1 O 2.40, 4 Pb 2.66
O (0.3989, 0.3989, 0.7977)  1 O 2.40, 4 Pb 2.66
Pb (0.2500, 0.7500, 0.5000)  4 O 2.66, 4 Pb 2.81
Pb (0.7500, 0.2500, 0.5000)  4 O 2.66, 4 Pb 2.81
Zr (0.0000, 0.0000, 0.0000)  8 O 3.05



# 5
A relaxed structure of RbBeCo3. Source: the Alexandria database, functional GGA-PBEsol.

## Properties
As for the space group: Pm-3m (221). The calculation puts the total energy at -2.775 eV per atom.

Cell: 4.4352 4.4352 4.4352 Å, 90.00 90.00 90.00°
Closest atoms and distances in Å follow each position.
Positions (direct):
Co (0.0000, 0.5000, 0.0000)  2 Rb 2.22
Co (0.5000, 0.0000, 0.0000)  2 Rb 2.22
Co (0.0000, 0.0000, 0.5000)  2 Rb 2.22
Rb (0.0000, 0.0000, 0.0000)  6 Co 2.22
Be (0.5000, 0.5000, 0.5000)  12 Co 3.14



# 6
A relaxed structure of Ta2CuTcSb. Source: the Alexandria database, functional GGA-PBEsol.

## Properties
As for the space group: P4/mmm (123). The calculation puts the total energy at -7.904 eV per atom.

Cell: 4.5108 4.5645 4.5645 Å, 90.00 90.00 90.00°
Closest atoms and distances in Å follow each position.
Positions (direct):
Tc (0.5000, 0.0000, 0.0000)  2 Cu 2.26
Cu (0.0000, 0.0000, 0.0000)  2 Tc 2.26, 4 Ta 2.28
Sb (0.5000, 0.5000, 0.5000)  8 Ta 3.21, 4 Tc 3.23
Ta (0.0000, 0.0000, 0.5000)  2 Cu 2.28
Ta (0.0000, 0.5000, 0.0000)  2 Cu 2.28



# 7
A relaxed structure of TbAgH2C2SO9. Source: the Alexandria database, functional GGA-PBEsol.

## Properties
As for the space group: C2/m (12). The calculation puts the total energy at -6.918 eV per atom.

Cell: 6.8719 7.5839 9.0004 Å, 112.91 90.00 116.94°
Closest atoms and distances in Å follow each position.
Positions (direct):
O (0.8720, 0.3979, 0.2242)  1 S 1.49
O (0.2598, 0.5196, 0.5203)  1 S 1.48
O (0.7817, 0.1781, 0.5940)  1 C 1.26
O (0.3387, 0.6774, 0.0996)  2 H 0.98-1.00
O (0.6613, 0.3226, 0.9004)  2 H 0.98-1.00
O (0.1197, 0.2394, 0.9700)  1 C 1.27
O (0.6035, 0.8219, 0.4060)  1 C 1.26
O (0.1280, 0.6021, 0.7758)  1 S 1.49
O (0.5541, 0.1082, 0.2608)  1 S 1.46
O (0.4742, 0.6021, 0.7758)  1 S 1.49
O (0.4459, 0.8918, 0.7392)  1 S 1.46
O (0.9427, 0.8855, 0.7839)  1 C 1.26
O (0.5258, 0.3979, 0.2242)  1 S 1.49
O (0.0573, 0.1145, 0.2161)  1 C 1.26
O (0.8803, 0.7606, 0.0300)  1 C 1.27
O (0.7402, 0.4804, 0.4797)  1 S 1.48
O (0.2183, 0.8219, 0.4060)  1 C 1.26
O (0.3965, 0.1781, 0.5940)  1 C 1.26
S (0.3292, 0.6585, 0.7013)  4 O 1.46-1.49
S (0.6708, 0.3415, 0.2987)  4 O 1.46-1.49
Ag (0.9192, 0.8385, 0.3373)  2 O 2.22
Ag (0.0808, 0.1615, 0.6627)  2 O 2.22
H (0.6923, 0.3845, 0.0214)  1 O 0.98
H (0.4206, 0.8413, 0.1452)  1 O 1.00
H (0.3077, 0.6155, 0.9786)  1 O 0.98
H (0.5794, 0.1587, 0.8548)  1 O 1.00
C (0.6098, 0.0000, 0.5000)  2 O 1.26
C (0.0176, 0.0352, 0.9300)  2 O 1.26-1.27
C (0.3902, 0.0000, 0.5000)  2 O 1.26
C (0.9824, 0.9648, 0.0700)  2 O 1.26-1.27
Tb (0.7552, 0.5105, 0.7415)  8 O 2.28-2.44
Tb (0.2448, 0.4895, 0.2585)  8 O 2.28-2.44



# 8
A relaxed structure of Ta2ZnCo. Source: the Alexandria database, functional GGA-PBEsol.

## Properties
As for the space group: R-3m (166). The calculation puts the total energy at -8.446 eV per atom.

Cell: 2.8119 2.8119 8.9661 Å, 80.98 80.98 60.00°
Closest atoms and distances in Å follow each position.
Positions (direct):
Zn (0.5000, 0.5000, 0.5000)  6 Zn 2.81, 6 Ta 2.85
Co (0.0000, 0.0000, 0.0000)  6 Ta 2.62, 6 Co 2.81
Ta (0.7446, 0.7446, 0.7663)  3 Co 2.62, 6 Ta 2.81, 3 Zn 2.85
Ta (0.2554, 0.2554, 0.2337)  3 Co 2.62, 6 Ta 2.81, 3 Zn 2.85



# 9
A relaxed structure of Cd3Rh4. Source: the Alexandria database, functional GGA-PBEsol.

## Properties
As for the space group: I4/mmm (139). The calculation puts the total energy at -5.154 eV per atom.

Cell: 2.8151 2.8151 14.0924 Å, 95.73 95.73 90.00°
Closest atoms and distances in Å follow each position.
Positions (direct):
Cd (0.0000, 0.0000, 0.0000)  4 Cd 2.82, 8 Rh 2.86
Cd (0.2941, 0.2941, 0.5881)  4 Cd 2.82, 4 Rh 2.83
Cd (0.7059, 0.7059, 0.4119)  4 Cd 2.82, 4 Rh 2.83
Rh (0.8661, 0.8661, 0.7321)  8 Rh 2.61-2.82, 4 Cd 2.83
Rh (0.1339, 0.1339, 0.2679)  8 Rh 2.61-2.82, 4 Cd 2.83
Rh (0.5736, 0.5736, 0.1472)  8 Rh 2.61-2.82, 4 Cd 2.86
Rh (0.4264, 0.4264, 0.8528)  8 Rh 2.61-2.82, 4 Cd 2.86



# 10
A relaxed structure of Te2WBr. Source: the Alexandria database, functional GGA-PBEsol.

## Properties
As for the space group: Imm2 (44). For the energy above the lowest structure with this stoichiometry, the calculation gives 0 meV per atom. The calculation puts the total energy at -5.333 eV per atom.

Cell: 3.3303 4.8452 7.0309 Å, 110.16 103.70 90.00°
Closest atoms and distances in Å follow each position.
Positions (direct):
Te (0.8386, 0.3386, 0.6773)  2 W 2.70
Te (0.9859, 0.9859, 0.9718)  4 W 2.95, 2 Te 3.07
Br (0.1703, 0.6703, 0.3406)  2 W 2.69
W (0.5052, 0.5052, 0.0104)  2 Br 2.69, 6 Te 2.70-2.95



# 11
A relaxed structure of AlGe2MoN. Source: the Alexandria database, functional GGA-PBEsol.

## Properties
As for the space group: P4/mmm (123). The calculation puts the total energy at -5.834 eV per atom.

Cell: 3.3865 5.0086 5.0086 Å, 90.00 90.00 90.00°
Closest atoms and distances in Å follow each position.
Positions (direct):
Mo (0.5000, 0.5000, 0.5000)  8 Ge 3.02
Al (0.0000, 0.0000, 0.0000)  2 N 1.69
N (0.5000, 0.0000, 0.0000)  2 Al 1.69
Ge (0.0000, 0.0000, 0.5000)  2 Al 2.50
Ge (0.0000, 0.5000, 0.0000)  2 Al 2.50



# 12
A relaxed structure of Na2MgInAu. Source: the Alexandria database, functional GGA-PBEsol.

## Properties
As for the space group: P4/mmm (123). The calculation puts the total energy at -1.729 eV per atom.

Cell: 5.1781 5.5003 5.5003 Å, 90.00 90.00 90.00°
Closest atoms and distances in Å follow each position.
Positions (direct):
Au (0.5000, 0.5000, 0.5000)  8 Na 3.78, 4 In 3.89
In (0.5000, 0.0000, 0.0000)  2 Mg 2.59
Mg (0.0000, 0.0000, 0.0000)  2 In 2.59, 4 Na 2.75
Na (0.0000, 0.5000, 0.0000)  2 Mg 2.75
Na (0.0000, 0.0000, 0.5000)  2 Mg 2.75



# 13
A relaxed structure of TlCo2Cl. Source: the Alexandria database, functional GGA-PBEsol.

## Properties
As for the space group: Pmmm (47). The calculation puts the total energy at -4.669 eV per atom.

Cell: 3.0341 3.9484 5.9561 Å, 90.00 90.00 90.00°
Closest atoms and distances in Å follow each position.
Positions (direct):
Tl (0.5000, 0.0000, 0.0000)  8 Co 2.72, 2 Tl 3.03
Co (0.0000, 0.5000, 0.1858)  1 Co 2.21, 2 Cl 2.41
Co (0.0000, 0.5000, 0.8142)  1 Co 2.21, 2 Cl 2.41
Cl (0.5000, 0.5000, 0.5000)  4 Co 2.41